Entry 1:
Below is crystalline LaSmTm5Th2 at its relaxed geometry, with properties calculated at the PBE level.

Properties
- Crystal system: tetragonal
- Energy relative to the elements: 322 meV per atom

abc: 8.9019 8.9019 9.8129
angles: 116.97 116.97 90.00
Closest atoms and distances in Å follow each position.
Element x y z (fractional)
Sm  0.2500  0.7500  0.5000  4 Tm 3.11
Sm  0.7500  0.2500  0.5000  4 Tm 3.11
Tm  0.5701  0.6586  0.7287  1 Th 3.01, 1 Sm 3.11
Tm  0.4299  0.3414  0.2713  1 Th 3.01, 1 Sm 3.11
Tm  0.6586  0.1586  0.7287  1 Th 3.01, 1 Sm 3.11
Tm  0.3414  0.8414  0.2713  1 Th 3.01, 1 Sm 3.11
Tm  0.9299  0.4299  0.2713  1 Th 3.01, 1 Sm 3.11
Tm  0.8414  0.9299  0.2713  1 Th 3.01, 1 Sm 3.11
Tm  0.5000  0.5000  0.0000  4 Th 3.56, 2 La 3.76, 8 Tm 3.79
Tm  0.0000  0.0000  0.0000  4 Th 3.56, 2 La 3.76, 8 Tm 3.79
Tm  0.1586  0.0701  0.7287  1 Th 3.01, 1 Sm 3.11
Tm  0.0701  0.5701  0.7287  1 Th 3.01, 1 Sm 3.11
Th  0.1184  0.3816  0.0000  1 Th 2.98, 2 Tm 3.01
Th  0.8816  0.6184  0.0000  1 Th 2.98, 2 Tm 3.01
Th  0.3816  0.8816  0.0000  1 Th 2.98, 2 Tm 3.01
Th  0.6184  0.1184  0.0000  1 Th 2.98, 2 Tm 3.01
La  0.7500  0.7500  0.5000  10 Tm 3.63-3.76
La  0.2500  0.2500  0.5000  10 Tm 3.63-3.76

---

Entry 2:
Below is crystalline La6SmTmTh2 at its relaxed geometry, with properties calculated at the PBE level.

Properties
- Crystal system: monoclinic
- Energy relative to the elements: 134 meV per atom

abc: 10.8157 8.7309 8.7309
angles: 116.95 98.34 98.34
Closest atoms and distances in Å follow each position.
Element x y z (fractional)
La  0.6159  0.4938  0.6858  3 Th 3.37-3.68, 1 Tm 3.46, 4 La 3.58-3.71
La  0.3841  0.5062  0.3142  3 Th 3.37-3.68, 1 Tm 3.46, 4 La 3.58-3.71
La  0.0437  0.1088  0.7411  2 Th 3.46-3.57, 4 La 3.53-3.69, 1 Sm 3.55, 1 Tm 3.86
La  0.1159  0.6858  0.4938  3 Th 3.37-3.68, 1 Tm 3.46, 4 La 3.58-3.71
La  0.6676  0.0086  0.5694  1 Tm 3.50, 4 La 3.53-3.77, 2 Th 3.57-3.85, 1 Sm 3.70
La  0.8324  0.4306  0.9914  1 Tm 3.50, 4 La 3.53-3.77, 2 Th 3.57-3.85, 1 Sm 3.70
La  0.3324  0.9914  0.4306  1 Tm 3.50, 4 La 3.53-3.77, 2 Th 3.57-3.85, 1 Sm 3.70
La  0.1676  0.5694  0.0086  1 Tm 3.50, 4 La 3.53-3.77, 2 Th 3.57-3.85, 1 Sm 3.70
La  0.5437  0.7411  0.1088  2 Th 3.46-3.57, 4 La 3.53-3.69, 1 Sm 3.55, 1 Tm 3.86
La  0.4563  0.2589  0.8912  2 Th 3.46-3.57, 4 La 3.53-3.69, 1 Sm 3.55, 1 Tm 3.86
La  0.8841  0.3142  0.5062  3 Th 3.37-3.68, 1 Tm 3.46, 4 La 3.58-3.71
La  0.9563  0.8912  0.2589  2 Th 3.46-3.57, 4 La 3.53-3.69, 1 Sm 3.55, 1 Tm 3.86
Th  0.4529  0.8168  0.7436  2 Sm 3.31-3.42, 6 La 3.37-3.68, 1 Tm 3.52
Th  0.0471  0.2564  0.1832  2 Sm 3.31-3.42, 6 La 3.37-3.68, 1 Tm 3.52
Th  0.5471  0.1832  0.2564  2 Sm 3.31-3.42, 6 La 3.37-3.68, 1 Tm 3.52
Th  0.9529  0.7436  0.8168  2 Sm 3.31-3.42, 6 La 3.37-3.68, 1 Tm 3.52
Tm  0.2500  0.3997  0.6003  8 La 3.46-3.86, 2 Th 3.52
Tm  0.7500  0.6003  0.3997  8 La 3.46-3.86, 2 Th 3.52
Sm  0.7500  0.0061  0.9939  4 Th 3.31-3.42, 4 La 3.55-3.70
Sm  0.2500  0.9939  0.0061  4 Th 3.31-3.42, 4 La 3.55-3.70

---

Entry 3:
Below is crystalline LaSm5Y2Th at its relaxed geometry, with properties calculated at the PBE level.

Properties
- Crystal system: orthorhombic
- Energy relative to the elements: 159 meV per atom

abc: 5.7217 10.4811 10.6331
angles: 90.00 90.00 105.84
Closest atoms and distances in Å follow each position.
Element x y z (fractional)
Sm  0.4782  0.9564  0.7389  2 La 3.09-3.35
Sm  0.2930  0.5860  0.7037  3 Sm 3.41-3.75, 3 Th 3.51-3.76, 3 Y 3.63-3.66, 1 La 3.67
Sm  0.7070  0.4140  0.2037  3 Sm 3.41-3.75, 3 Th 3.51-3.76, 3 Y 3.63-3.66, 1 La 3.67
Sm  0.5218  0.0436  0.2389  2 La 3.09-3.35
Sm  0.6122  0.2244  0.5267  6 Sm 3.52-3.93, 4 Y 3.61, 1 Th 3.75
Sm  0.7214  0.4429  0.8148  1 La 3.09, 1 Y 3.30, 2 Sm 3.41
Sm  0.0170  0.0340  0.0256  2 La 3.28, 3 Y 3.42-3.65, 2 Sm 3.65
Sm  0.3878  0.7756  0.0267  6 Sm 3.52-3.93, 4 Y 3.61, 1 Th 3.75
Sm  0.9830  0.9660  0.5256  2 La 3.28, 3 Y 3.42-3.65, 2 Sm 3.65
Sm  0.2786  0.5571  0.3148  1 La 3.09, 1 Y 3.30, 2 Sm 3.41
Y  0.1151  0.2302  0.3197  8 Sm 3.30-3.63
Y  0.8877  0.7755  0.2343  7 Sm 3.42-3.71, 1 Th 3.47, 2 La 3.69
Y  0.1123  0.2245  0.7343  7 Sm 3.42-3.71, 1 Th 3.47, 2 La 3.69
Y  0.8849  0.7698  0.8197  8 Sm 3.30-3.63
Th  0.7982  0.5964  0.5127  2 Y 3.47-3.70, 8 Sm 3.51-3.76, 2 La 3.77
Th  0.2018  0.4036  0.0127  2 Y 3.47-3.70, 8 Sm 3.51-3.76, 2 La 3.77
La  0.5852  0.1705  0.9474  5 Sm 3.09-3.35
La  0.4148  0.8295  0.4474  5 Sm 3.09-3.35

---

Entry 4:
Below is crystalline La2Sm2Y4Th at its relaxed geometry, with properties calculated at the PBE level.

Properties
- Crystal system: monoclinic
- Energy relative to the elements: -1 meV per atom

abc: 3.6467 9.6877 9.6828
angles: 115.49 90.00 100.85
Closest atoms and distances in Å follow each position.
Element x y z (fractional)
La  0.6631  0.3262  0.0022  3 Y 3.54-3.57, 2 Th 3.59, 3 Sm 3.64-3.65, 4 La 3.65-3.79
La  0.3369  0.6738  0.9978  3 Y 3.54-3.57, 2 Th 3.59, 3 Sm 3.64-3.65, 4 La 3.65-3.79
Y  0.4813  0.9626  0.6716  1 La 3.54, 2 Th 3.55, 4 Sm 3.59-3.68, 5 Y 3.60-3.69
Y  0.8165  0.6330  0.6649  3 Sm 3.53-3.69, 2 La 3.57, 1 Th 3.58, 6 Y 3.58-3.65
Y  0.5187  0.0374  0.3284  1 La 3.54, 2 Th 3.55, 4 Sm 3.59-3.68, 5 Y 3.60-3.69
Y  0.1835  0.3670  0.3351  3 Sm 3.53-3.69, 2 La 3.57, 1 Th 3.58, 6 Y 3.58-3.65
Sm  0.1475  0.2950  0.6630  7 Y 3.53-3.69, 3 La 3.64-3.65, 2 Sm 3.65
Sm  0.8525  0.7050  0.3370  7 Y 3.53-3.69, 3 La 3.64-3.65, 2 Sm 3.65
Th  0.0000  0.0000  0.0000  6 Y 3.55-3.58, 4 La 3.59, 2 Th 3.65